The following is a PBE-GGA calculation of a relaxed LiDySnBi crystal, from the Alexandria database.

## Properties
Calculated formation energy (meV per atom): -391
SG: F-43m

Cell lengths 5.2953, 5.2953, 5.2953 Å; angles 60.00, 60.00, 60.00 degrees
Fractional coordinates of all 4 atoms:
Li: 0.0000 0.0000 0.0000
Dy: 0.5000 0.5000 0.5000
Sn: 0.7500 0.7500 0.7500
Bi: 0.2500 0.2500 0.2500